Entry one
A relaxed structure of PmPaB4. Source: Alexandria, functional PBE.

The calculation puts the density of states at the Fermi level at 2.6 states/eV/f.u. The value obtained for the volume is 12.53 Å³/atom. The spin magnetization is 0.000 Bohr magnetons per cell.

```
data_PmPaB4
_cell_length_a 3.253
_cell_length_b 5.218
_cell_length_c 5.218
_cell_angle_alpha 66.08
_cell_angle_beta 71.84
_cell_angle_gamma 71.84
_space_group_name_H-M_alt 'P 1'
_space_group_IT_number 1
_space_group_name_Hall 'P 1'
loop_
_atom_site_label
_atom_site_type_symbol
_atom_site_fract_x
_atom_site_fract_y
_atom_site_fract_z
Pa1 Pa 0.500 0.500 0.500
B1 B 0.248 0.083 0.421
B2 B 0.752 0.917 0.579
B3 B 0.752 0.579 0.917
B4 B 0.248 0.421 0.083
Pm1 Pm 0.000 0.000 0.000
```


Entry two
A relaxed structure of PmPaB4. Source: Alexandria, functional PBE.

The calculation puts the density of states at the Fermi level at 2.9 states/eV/f.u. The value obtained for the volume is 13.33 Å³/atom. The spin magnetization is 0.000 Bohr magnetons per cell.

```
data_PmPaB4
_cell_length_a 4.836
_cell_length_b 4.836
_cell_length_c 4.836
_cell_angle_alpha 60.00
_cell_angle_beta 60.00
_cell_angle_gamma 60.00
_space_group_name_H-M_alt 'P 1'
_space_group_IT_number 1
_space_group_name_Hall 'P 1'
loop_
_atom_site_label
_atom_site_type_symbol
_atom_site_fract_x
_atom_site_fract_y
_atom_site_fract_z
Pa1 Pa 0.250 0.250 0.250
B1 B 0.591 0.227 0.591
B2 B 0.591 0.591 0.227
B3 B 0.591 0.591 0.591
B4 B 0.227 0.591 0.591
Pm1 Pm 0.000 0.000 0.000
```


Most stable one: entry one, least stable one: entry two.


Entry one
A relaxed structure of PaBPt. Source: Alexandria, functional PBE.

The calculation puts the density of states at the Fermi level at 3.5 states/eV/f.u. The value obtained for the volume is 16.95 Å³/atom. The spin magnetization is 0.001 Bohr magnetons per cell.

```
data_PaBPt
_cell_length_a 3.706
_cell_length_b 3.172
_cell_length_c 9.684
_cell_angle_alpha 89.50
_cell_angle_beta 77.73
_cell_angle_gamma 66.59
_space_group_name_H-M_alt 'P 1'
_space_group_IT_number 1
_space_group_name_Hall 'P 1'
loop_
_atom_site_label
_atom_site_type_symbol
_atom_site_fract_x
_atom_site_fract_y
_atom_site_fract_z
Pt1 Pt 0.747 0.300 0.578
Pt2 Pt 0.911 0.236 0.855
Pa1 Pa 0.537 0.867 0.338
Pa2 Pa 0.288 0.012 0.090
B1 B 0.334 0.540 0.793
B2 B 0.322 0.997 0.646
```


Entry two
A relaxed structure of PaBPt. Source: Alexandria, functional PBE.

The calculation puts the density of states at the Fermi level at 4.1 states/eV/f.u. The value obtained for the volume is 16.94 Å³/atom. The spin magnetization is 0.000 Bohr magnetons per cell.

```
data_PaBPt
_cell_length_a 3.752
_cell_length_b 3.954
_cell_length_c 3.954
_cell_angle_alpha 120.00
_cell_angle_beta 90.00
_cell_angle_gamma 90.00
_space_group_name_H-M_alt 'P 1'
_space_group_IT_number 1
_space_group_name_Hall 'P 1'
loop_
_atom_site_label
_atom_site_type_symbol
_atom_site_fract_x
_atom_site_fract_y
_atom_site_fract_z
B1 B 0.153 0.000 0.000
Pt1 Pt 0.174 0.667 0.333
Pa1 Pa 0.673 0.333 0.667
```


Most stable one: entry two, least stable one: entry one.


Entry one
A relaxed structure of PaReB3. Source: Alexandria, functional PBE.

The calculation puts the density of states at the Fermi level at 3.7 states/eV/f.u. The value obtained for the volume is 12.43 Å³/atom. The spin magnetization is 0.294 Bohr magnetons per cell.

```
data_PaReB3
_cell_length_a 5.291
_cell_length_b 5.291
_cell_length_c 5.967
_cell_angle_alpha 63.68
_cell_angle_beta 63.67
_cell_angle_gamma 60.01
_space_group_name_H-M_alt 'P 1'
_space_group_IT_number 1
_space_group_name_Hall 'P 1'
loop_
_atom_site_label
_atom_site_type_symbol
_atom_site_fract_x
_atom_site_fract_y
_atom_site_fract_z
Re1 Re 0.877 0.003 0.160
Re2 Re 0.040 0.167 0.670
B1 B 0.403 0.166 0.308
B2 B 0.171 0.644 0.930
B3 B 0.518 0.298 0.931
B4 B 0.171 0.298 0.931
B5 B 0.040 0.167 0.308
B6 B 0.040 0.530 0.308
Pa1 Pa 0.679 0.806 0.753
Pa2 Pa 0.443 0.570 0.461
```


Entry two
A relaxed structure of PaReB3. Source: Alexandria, functional PBE.

The calculation puts the density of states at the Fermi level at 1.8 states/eV/f.u. The value obtained for the volume is 11.34 Å³/atom. The spin magnetization is 0.000 Bohr magnetons per cell.

```
data_PaReB3
_cell_length_a 3.876
_cell_length_b 3.114
_cell_length_c 9.589
_cell_angle_alpha 90.00
_cell_angle_beta 101.66
_cell_angle_gamma 90.00
_space_group_name_H-M_alt 'P 1'
_space_group_IT_number 1
_space_group_name_Hall 'P 1'
loop_
_atom_site_label
_atom_site_type_symbol
_atom_site_fract_x
_atom_site_fract_y
_atom_site_fract_z
B1 B 0.525 0.750 0.050
B2 B 0.370 0.250 0.740
B3 B 0.475 0.250 0.950
B4 B 0.322 0.750 0.643
B5 B 0.630 0.750 0.260
B6 B 0.678 0.250 0.357
Re1 Re 0.204 0.750 0.408
Re2 Re 0.796 0.250 0.592
Pa1 Pa 0.073 0.250 0.146
Pa2 Pa 0.927 0.750 0.854
```


Most stable one: entry two, least stable one: entry one.


Entry one
A relaxed structure of PaRe2B. Source: Alexandria, functional PBE.

The calculation puts the density of states at the Fermi level at 4.2 states/eV/f.u. The value obtained for the volume is 15.92 Å³/atom. The spin magnetization is 0.000 Bohr magnetons per cell.

```
data_PaRe2B
_cell_length_a 3.038
_cell_length_b 3.038
_cell_length_c 8.156
_cell_angle_alpha 79.27
_cell_angle_beta 79.27
_cell_angle_gamma 60.00
_space_group_name_H-M_alt 'P 1'
_space_group_IT_number 1
_space_group_name_Hall 'P 1'
loop_
_atom_site_label
_atom_site_type_symbol
_atom_site_fract_x
_atom_site_fract_y
_atom_site_fract_z
Pa1 Pa 0.000 0.000 0.000
Re1 Re 0.112 0.112 0.664
Re2 Re 0.888 0.888 0.336
B1 B 0.500 0.500 0.500
```


Entry two
A relaxed structure of PaRe2B. Source: Alexandria, functional PBE.

The calculation puts the density of states at the Fermi level at 2.8 states/eV/f.u. The value obtained for the volume is 15.18 Å³/atom. The spin magnetization is 0.000 Bohr magnetons per cell.

```
data_PaRe2B
_cell_length_a 2.838
_cell_length_b 2.838
_cell_length_c 7.536
_cell_angle_alpha 90.00
_cell_angle_beta 90.00
_cell_angle_gamma 90.00
_space_group_name_H-M_alt 'P 1'
_space_group_IT_number 1
_space_group_name_Hall 'P 1'
loop_
_atom_site_label
_atom_site_type_symbol
_atom_site_fract_x
_atom_site_fract_y
_atom_site_fract_z
Re1 Re 0.000 0.000 0.166
Re2 Re 0.000 0.000 0.834
B1 B 0.500 0.500 0.000
Pa1 Pa 0.500 0.500 0.500
```


Most stable one: entry two, least stable one: entry one.


Entry one
A relaxed structure of PaReB4. Source: Alexandria, functional PBE.

The calculation puts the density of states at the Fermi level at 2.7 states/eV/f.u. The value obtained for the volume is 10.60 Å³/atom. The spin magnetization is 0.000 Bohr magnetons per cell.

```
data_PaReB4
_cell_length_a 3.657
_cell_length_b 5.988
_cell_length_c 5.988
_cell_angle_alpha 104.00
_cell_angle_beta 90.00
_cell_angle_gamma 90.00
_space_group_name_H-M_alt 'P 1'
_space_group_IT_number 1
_space_group_name_Hall 'P 1'
loop_
_atom_site_label
_atom_site_type_symbol
_atom_site_fract_x
_atom_site_fract_y
_atom_site_fract_z
B1 B 0.500 0.063 0.380
B2 B 0.500 0.091 0.909
B3 B 0.500 0.937 0.620
B4 B 0.500 0.620 0.937
B5 B 0.500 0.909 0.091
B6 B 0.500 0.379 0.379
B7 B 0.500 0.380 0.063
B8 B 0.500 0.621 0.621
Pa1 Pa 0.000 0.300 0.700
Pa2 Pa 0.000 0.700 0.300
Re1 Re 0.000 0.188 0.188
Re2 Re 0.000 0.812 0.812
```


Entry two
A relaxed structure of PaReB4. Source: Alexandria, functional PBE.

The calculation puts the density of states at the Fermi level at 5.9 states/eV/f.u. The value obtained for the volume is 11.60 Å³/atom. The spin magnetization is 0.000 Bohr magnetons per cell.

```
data_PaReB4
_cell_length_a 4.618
_cell_length_b 4.618
_cell_length_c 4.618
_cell_angle_alpha 60.00
_cell_angle_beta 60.00
_cell_angle_gamma 60.00
_space_group_name_H-M_alt 'P 1'
_space_group_IT_number 1
_space_group_name_Hall 'P 1'
loop_
_atom_site_label
_atom_site_type_symbol
_atom_site_fract_x
_atom_site_fract_y
_atom_site_fract_z
Pa1 Pa 0.000 0.000 0.000
Re1 Re 0.250 0.250 0.250
B1 B 0.596 0.211 0.596
B2 B 0.211 0.596 0.596
B3 B 0.596 0.596 0.211
B4 B 0.596 0.596 0.596
```


Most stable one: entry one, least stable one: entry two.


Entry one
A relaxed structure of PaReB. Source: Alexandria, functional PBE.

The calculation puts the density of states at the Fermi level at 2.6 states/eV/f.u. The value obtained for the volume is 15.97 Å³/atom. The spin magnetization is 0.000 Bohr magnetons per cell.

```
data_PaReB
_cell_length_a 3.169
_cell_length_b 3.169
_cell_length_c 5.511
_cell_angle_alpha 90.00
_cell_angle_beta 90.00
_cell_angle_gamma 120.00
_space_group_name_H-M_alt 'P 1'
_space_group_IT_number 1
_space_group_name_Hall 'P 1'
loop_
_atom_site_label
_atom_site_type_symbol
_atom_site_fract_x
_atom_site_fract_y
_atom_site_fract_z
Re1 Re 0.333 0.667 0.576
B1 B 0.667 0.333 0.378
Pa1 Pa 0.000 0.000 0.046
```


Entry two
A relaxed structure of PaReB. Source: Alexandria, functional PBE.

The calculation puts the density of states at the Fermi level at 2.6 states/eV/f.u. The value obtained for the volume is 16.51 Å³/atom. The spin magnetization is 0.000 Bohr magnetons per cell.

```
data_PaReB
_cell_length_a 3.710
_cell_length_b 3.710
_cell_length_c 9.347
_cell_angle_alpha 66.64
_cell_angle_beta 66.64
_cell_angle_gamma 60.01
_space_group_name_H-M_alt 'P 1'
_space_group_IT_number 1
_space_group_name_Hall 'P 1'
loop_
_atom_site_label
_atom_site_type_symbol
_atom_site_fract_x
_atom_site_fract_y
_atom_site_fract_z
Re1 Re 0.255 0.255 0.117
Re2 Re 0.745 0.745 0.883
Pa1 Pa 0.762 0.762 0.358
Pa2 Pa 0.238 0.238 0.642
B1 B 0.439 0.439 0.842
B2 B 0.561 0.561 0.158
```


Most stable one: entry two, least stable one: entry one.


Entry one
A relaxed structure of PaBRh. Source: Alexandria, functional PBE.

The calculation puts the density of states at the Fermi level at 4.1 states/eV/f.u. The value obtained for the volume is 14.93 Å³/atom. The spin magnetization is 0.000 Bohr magnetons per cell.

```
data_PaBRh
_cell_length_a 2.934
_cell_length_b 2.934
_cell_length_c 5.602
_cell_angle_alpha 105.18
_cell_angle_beta 105.18
_cell_angle_gamma 90.00
_space_group_name_H-M_alt 'P 1'
_space_group_IT_number 1
_space_group_name_Hall 'P 1'
loop_
_atom_site_label
_atom_site_type_symbol
_atom_site_fract_x
_atom_site_fract_y
_atom_site_fract_z
Pa1 Pa 0.322 0.322 0.644
B1 B 0.634 0.634 0.267
Rh1 Rh 0.044 0.044 0.089
```


Entry two
A relaxed structure of PaBRh. Source: Alexandria, functional PBE.

The calculation puts the density of states at the Fermi level at 2.4 states/eV/f.u. The value obtained for the volume is 15.10 Å³/atom. The spin magnetization is 0.000 Bohr magnetons per cell.

```
data_PaBRh
_cell_length_a 3.828
_cell_length_b 5.220
_cell_length_c 5.236
_cell_angle_alpha 82.10
_cell_angle_beta 68.56
_cell_angle_gamma 68.49
_space_group_name_H-M_alt 'P 1'
_space_group_IT_number 1
_space_group_name_Hall 'P 1'
loop_
_atom_site_label
_atom_site_type_symbol
_atom_site_fract_x
_atom_site_fract_y
_atom_site_fract_z
Pa1 Pa 0.414 0.348 0.824
Pa2 Pa 0.586 0.652 0.176
Rh1 Rh 0.792 0.814 0.601
Rh2 Rh 0.208 0.186 0.399
B1 B 0.880 0.078 0.162
B2 B 0.120 0.922 0.838
```


Entry three
A relaxed structure of PaBRh. Source: Alexandria, functional PBE.

The calculation puts the density of states at the Fermi level at 2.4 states/eV/f.u. The value obtained for the volume is 16.93 Å³/atom. The spin magnetization is 0.000 Bohr magnetons per cell.

```
data_PaBRh
_cell_length_a 4.106
_cell_length_b 3.283
_cell_length_c 7.809
_cell_angle_alpha 90.00
_cell_angle_beta 105.24
_cell_angle_gamma 90.00
_space_group_name_H-M_alt 'P 1'
_space_group_IT_number 1
_space_group_name_Hall 'P 1'
loop_
_atom_site_label
_atom_site_type_symbol
_atom_site_fract_x
_atom_site_fract_y
_atom_site_fract_z
Rh1 Rh 0.274 0.250 0.549
Rh2 Rh 0.726 0.750 0.451
Pa1 Pa 0.595 0.250 0.191
Pa2 Pa 0.405 0.750 0.809
B1 B 0.017 0.750 0.033
B2 B 0.983 0.250 0.967
```


Most stable one: entry two, least stable one: entry one.


Entry one
A relaxed structure of PaB2Rh4. Source: Alexandria, functional PBE.

The calculation puts the density of states at the Fermi level at 3.2 states/eV/f.u. The value obtained for the volume is 13.54 Å³/atom. The spin magnetization is 0.000 Bohr magnetons per cell.

```
data_PaB2Rh4
_cell_length_a 3.862
_cell_length_b 3.843
_cell_length_c 6.668
_cell_angle_alpha 106.75
_cell_angle_beta 90.00
_cell_angle_gamma 90.00
_space_group_name_H-M_alt 'P 1'
_space_group_IT_number 1
_space_group_name_Hall 'P 1'
loop_
_atom_site_label
_atom_site_type_symbol
_atom_site_fract_x
_atom_site_fract_y
_atom_site_fract_z
Pa1 Pa 0.000 0.000 0.000
Rh1 Rh 0.500 0.168 0.336
Rh2 Rh 0.000 0.665 0.329
Rh3 Rh 0.500 0.832 0.664
Rh4 Rh 0.000 0.335 0.671
B1 B 0.500 0.574 0.148
B2 B 0.500 0.426 0.852
```


Entry two
A relaxed structure of PaB2Rh4. Source: Alexandria, functional PBE.

The calculation puts the density of states at the Fermi level at 3.6 states/eV/f.u. The value obtained for the volume is 14.30 Å³/atom. The spin magnetization is 0.000 Bohr magnetons per cell.

```
data_PaB2Rh4
_cell_length_a 5.474
_cell_length_b 5.474
_cell_length_c 7.727
_cell_angle_alpha 110.74
_cell_angle_beta 110.74
_cell_angle_gamma 90.27
_space_group_name_H-M_alt 'P 1'
_space_group_IT_number 1
_space_group_name_Hall 'P 1'
loop_
_atom_site_label
_atom_site_type_symbol
_atom_site_fract_x
_atom_site_fract_y
_atom_site_fract_z
Rh1 Rh 0.940 0.175 0.342
Rh2 Rh 0.821 0.117 0.672
Rh3 Rh 0.367 0.571 0.172
Rh4 Rh 0.849 0.583 0.159
Rh5 Rh 0.833 0.599 0.659
Rh6 Rh 0.400 0.194 0.828
Rh7 Rh 0.425 0.690 0.842
Rh8 Rh 0.444 0.150 0.328
B1 B 0.111 0.467 0.869
B2 B 0.598 0.241 0.131
B3 B 0.491 0.348 0.631
B4 B 0.717 0.861 0.369
Pa1 Pa 0.002 0.003 0.000
Pa2 Pa 0.253 0.752 0.500
```


Most stable one: entry one, least stable one: entry two.